# NdSiNi4 (PBE, relaxed)
data_NdSiNi4
_chemical_formula_sum 'Nd2 Si2 Ni8'
_symmetry_space_group_name_H-M 'P m m a'
_symmetry_Int_Tables_number 51
_cell_length_a 7.148
_cell_length_b 3.637
_cell_length_c 6.736
_cell_angle_alpha 90.00
_cell_angle_beta 90.00
_cell_angle_gamma 90.00
loop_
_symmetry_equiv_pos_as_xyz
'x,y,z'
'-x,-y,-z'
'-x+1/2,-y,z'
'x+1/2,y,-z'
'x+1/2,-y,-z'
'-x+1/2,y,z'
'-x,y,-z'
'x,-y,z'
loop_
_atom_site_label
_atom_site_fract_x
_atom_site_fract_y
_atom_site_fract_z
Nd1 0.250 0.000 0.131
Si1 0.250 0.000 0.697
Ni1 0.000 0.000 0.500
Ni2 0.061 0.500 0.776
Ni3 0.250 0.500 0.461
# **Calculated total energy**: -0.439 Ry per atom
# **E_form (uncorrected)**: -0.421 eV per atom
# **Fermi-level density of states**: 0.409 states/eV per atom